*a*
Density functional theory data (PBE-GGA) for crystalline TlCrI4 at its relaxed geometry.

The value obtained for the calculated volume is 48.21 Å³/atom.

The space group is C2/c (No. 15) and the conventional cell measures 10.656, 15.781 and 7.170 Å, with angles of 90.00, 106.32 and 90.00 degrees. The distinct sites, in fractional coordinates, are Tl at (0.000, 0.244, 0.250), Cr at (0.000, 0.436, 0.750), I at (0.147, 0.440, 0.135) and I at (0.168, 0.315, 0.698).

---

*b*
Density functional theory data (PBE-GGA) for crystalline TlCrI4 at its relaxed geometry.

As for the density of states at the Fermi level: 0.4467 states/eV/atom. The value obtained for the calculated volume is 41.05 Å³/atom.

The space group is C2/m (No. 12) and the conventional cell measures 20.392, 7.558 and 6.772 Å, with angles of 90.00, 109.28 and 90.00 degrees. The distinct sites, in fractional coordinates, are Tl at (0.243, 0.000, 0.244), Cr at (0.000, 0.500, 0.314), I at (0.000, 0.273, 0.000), I at (0.091, 0.273, 0.591) and I at (0.229, 0.500, 0.229).

---

Of them, the most stable is *a* and the least stable is *b*.

---

*a*
Density functional theory data (PBE-GGA) for crystalline VCrI2 at its relaxed geometry.

As for the density of states at the Fermi level: 0.8494 states/eV/atom. The value obtained for the calculated volume is 25.11 Å³/atom.

The space group is Fm-3m (No. 225) and the conventional cell measures 7.379, 7.379 and 7.379 Å, with angles of 90.00, 90.00 and 90.00 degrees. The distinct sites, in fractional coordinates, are V at (0.000, 0.000, 0.000), Cr at (0.000, 0.000, 0.500) and I at (0.250, 0.250, 0.250).

---

*b*
Density functional theory data (PBE-GGA) for crystalline VCrI2 at its relaxed geometry.

As for the density of states at the Fermi level: 0.8456 states/eV/atom. The value obtained for the calculated volume is 34.23 Å³/atom.

The space group is I-42d (No. 122) and the conventional cell measures 6.596, 6.596 and 12.586 Å, with angles of 90.00, 90.00 and 90.00 degrees. The distinct sites, in fractional coordinates, are V at (0.000, 0.000, 0.000), Cr at (0.000, 0.000, 0.500) and I at (0.244, 0.250, 0.125).

---

Of them, the most stable is *b* and the least stable is *a*.

---

*a*
Density functional theory data (PBE-GGA) for crystalline VCr3I at its relaxed geometry.

As for the density of states at the Fermi level: 1.3385 states/eV/atom. The value obtained for the calculated volume is 20.80 Å³/atom.

The space group is Pm-3m (No. 221) and the conventional cell measures 4.703, 4.703 and 4.703 Å, with angles of 90.00, 90.00 and 90.00 degrees. The distinct sites, in fractional coordinates, are V at (0.000, 0.000, 0.000), Cr at (0.000, 0.000, 0.500) and I at (0.500, 0.500, 0.500).

---

*b*
Density functional theory data (PBE-GGA) for crystalline VCr3I at its relaxed geometry.

As for the density of states at the Fermi level: 1.7227 states/eV/atom. The value obtained for the calculated volume is 25.51 Å³/atom.

The space group is Pm-3m (No. 221) and the conventional cell measures 5.034, 5.034 and 5.034 Å, with angles of 90.00, 90.00 and 90.00 degrees. The distinct sites, in fractional coordinates, are V at (0.000, 0.000, 0.000), Cr at (0.000, 0.500, 0.500) and I at (0.500, 0.500, 0.500).

---

Of them, the most stable is *a* and the least stable is *b*.

---

*a*
Density functional theory data (PBE-GGA) for crystalline CrWI2 at its relaxed geometry.

As for the density of states at the Fermi level: 1.4949 states/eV/atom. The value obtained for the calculated volume is 18.55 Å³/atom.

The space group is Fm-3m (No. 225) and the conventional cell measures 6.670, 6.670 and 6.670 Å, with angles of 90.00, 90.00 and 90.00 degrees. The distinct sites, in fractional coordinates, are Cr at (0.000, 0.000, 0.000), W at (0.000, 0.000, 0.500) and I at (0.250, 0.250, 0.250).

---

*b*
Density functional theory data (PBE-GGA) for crystalline CrWI2 at its relaxed geometry.

As for the density of states at the Fermi level: 1.0148 states/eV/atom. The value obtained for the calculated volume is 26.14 Å³/atom.

The space group is I-42d (No. 122) and the conventional cell measures 5.001, 5.001 and 16.723 Å, with angles of 90.00, 90.00 and 90.00 degrees. The distinct sites, in fractional coordinates, are Cr at (0.000, 0.000, 0.000), W at (0.000, 0.000, 0.500) and I at (0.249, 0.250, 0.125).

---

Of them, the most stable is *b* and the least stable is *a*.

---

*a*
Density functional theory data (PBE-GGA) for crystalline CrW2I2 at its relaxed geometry.

As for the density of states at the Fermi level: 1.4467 states/eV/atom. The value obtained for the calculated volume is 23.71 Å³/atom.

The space group is I4/mmm (No. 139) and the conventional cell measures 4.552, 4.552 and 11.440 Å, with angles of 90.00, 90.00 and 90.00 degrees. The distinct sites, in fractional coordinates, are Cr at (0.000, 0.000, 0.000), W at (0.000, 0.000, 0.398) and I at (0.000, 0.500, 0.250).

---

*b*
Density functional theory data (PBE-GGA) for crystalline CrW2I2 at its relaxed geometry.

As for the density of states at the Fermi level: 1.1966 states/eV/atom. The value obtained for the calculated volume is 20.91 Å³/atom.

The space group is P4/mbm (No. 127) and the conventional cell measures 6.782, 6.782 and 4.546 Å, with angles of 90.00, 90.00 and 90.00 degrees. The distinct sites, in fractional coordinates, are Cr at (0.000, 0.000, 0.000), W at (0.137, 0.363, 0.000) and I at (0.178, 0.678, 0.500).

---

Of them, the most stable is *b* and the least stable is *a*.

---

*a*
Density functional theory data (PBE-GGA) for crystalline Cr3WI at its relaxed geometry.

As for the density of states at the Fermi level: 0.9620 states/eV/atom. The value obtained for the calculated volume is 18.36 Å³/atom.

The space group is Pm-3m (No. 221) and the conventional cell measures 4.511, 4.511 and 4.511 Å, with angles of 90.00, 90.00 and 90.00 degrees. The distinct sites, in fractional coordinates, are Cr at (0.000, 0.000, 0.500), W at (0.500, 0.500, 0.500) and I at (0.000, 0.000, 0.000).

---

*b*
Density functional theory data (PBE-GGA) for crystalline Cr3WI at its relaxed geometry.

As for the density of states at the Fermi level: 0.7635 states/eV/atom. The value obtained for the calculated volume is 23.08 Å³/atom.

The space group is Pm-3m (No. 221) and the conventional cell measures 4.869, 4.869 and 4.869 Å, with angles of 90.00, 90.00 and 90.00 degrees. The distinct sites, in fractional coordinates, are Cr at (0.000, 0.000, 0.500), W at (0.000, 0.000, 0.000) and I at (0.500, 0.500, 0.500).

---

Of them, the most stable is *b* and the least stable is *a*.

---

*a*
Density functional theory data (PBE-GGA) for crystalline Cr2WI at its relaxed geometry.

As for the density of states at the Fermi level: 0.7269 states/eV/atom. The value obtained for the calculated volume is 25.41 Å³/atom.

The space group is I-42d (No. 122) and the conventional cell measures 5.805, 5.805 and 12.066 Å, with angles of 90.00, 90.00 and 90.00 degrees. The distinct sites, in fractional coordinates, are Cr at (0.200, 0.250, 0.125), W at (0.000, 0.000, 0.000) and I at (0.000, 0.000, 0.500).

---

*b*
Density functional theory data (PBE-GGA) for crystalline Cr2WI at its relaxed geometry.

As for the density of states at the Fermi level: 2.1877 states/eV/atom. The value obtained for the calculated volume is 15.31 Å³/atom.

The space group is Fm-3m (No. 225) and the conventional cell measures 6.257, 6.257 and 6.257 Å, with angles of 90.00, 90.00 and 90.00 degrees. The distinct sites, in fractional coordinates, are Cr at (0.250, 0.250, 0.250), W at (0.000, 0.000, 0.000) and I at (0.000, 0.000, 0.500).

---

Of them, the most stable is *b* and the least stable is *a*.

---

*a*
Density functional theory data (PBE-GGA) for crystalline CrWI3 at its relaxed geometry.

As for the density of states at the Fermi level: 0.5555 states/eV/atom. The value obtained for the calculated volume is 35.39 Å³/atom.

The space group is Pm-3m (No. 221) and the conventional cell measures 5.614, 5.614 and 5.614 Å, with angles of 90.00, 90.00 and 90.00 degrees. The distinct sites, in fractional coordinates, are Cr at (0.000, 0.000, 0.000), W at (0.500, 0.500, 0.500) and I at (0.000, 0.500, 0.500).

---

*b*
Density functional theory data (PBE-GGA) for crystalline CrWI3 at its relaxed geometry.

As for the density of states at the Fermi level: 2.3575 states/eV/atom. The value obtained for the calculated volume is 33.64 Å³/atom.

The space group is Pm-3m (No. 221) and the conventional cell measures 5.520, 5.520 and 5.520 Å, with angles of 90.00, 90.00 and 90.00 degrees. The distinct sites, in fractional coordinates, are Cr at (0.000, 0.000, 0.000), W at (0.500, 0.500, 0.500) and I at (0.000, 0.000, 0.500).

---

Of them, the most stable is *a* and the least stable is *b*.

---

*a*
Density functional theory data (PBE-GGA) for crystalline CrW2I at its relaxed geometry.

As for the density of states at the Fermi level: 0.7868 states/eV/atom. The value obtained for the calculated volume is 18.82 Å³/atom.

The space group is I-42d (No. 122) and the conventional cell measures 3.807, 3.807 and 20.774 Å, with angles of 90.00, 90.00 and 90.00 degrees. The distinct sites, in fractional coordinates, are Cr at (0.000, 0.000, 0.000), W at (0.236, 0.250, 0.125) and I at (0.000, 0.000, 0.500).

---

*b*
Density functional theory data (PBE-GGA) for crystalline CrW2I at its relaxed geometry.

As for the density of states at the Fermi level: 0.6428 states/eV/atom. The value obtained for the calculated volume is 16.55 Å³/atom.

The space group is Fm-3m (No. 225) and the conventional cell measures 6.421, 6.421 and 6.421 Å, with angles of 90.00, 90.00 and 90.00 degrees. The distinct sites, in fractional coordinates, are Cr at (0.000, 0.000, 0.000), W at (0.250, 0.250, 0.250) and I at (0.000, 0.000, 0.500).

---

Of them, the most stable is *b* and the least stable is *a*.

---

*a*
Density functional theory data (PBE-GGA) for crystalline Y2CrI at its relaxed geometry.

As for the density of states at the Fermi level: 1.1374 states/eV/atom. The value obtained for the calculated volume is 24.53 Å³/atom.

The space group is Fm-3m (No. 225) and the conventional cell measures 7.322, 7.322 and 7.322 Å, with angles of 90.00, 90.00 and 90.00 degrees. The distinct sites, in fractional coordinates, are Y at (0.250, 0.250, 0.250), Cr at (0.000, 0.000, 0.000) and I at (0.000, 0.000, 0.500).

---

*b*
Density functional theory data (PBE-GGA) for crystalline Y2CrI at its relaxed geometry.

As for the density of states at the Fermi level: 1.1290 states/eV/atom. The value obtained for the calculated volume is 28.89 Å³/atom.

The space group is I-42d (No. 122) and the conventional cell measures 8.168, 8.168 and 6.929 Å, with angles of 90.00, 90.00 and 90.00 degrees. The distinct sites, in fractional coordinates, are Y at (0.241, 0.250, 0.125), Cr at (0.000, 0.000, 0.000) and I at (0.000, 0.000, 0.500).

---

Of them, the most stable is *b* and the least stable is *a*.

---

*a*
Density functional theory data (PBE-GGA) for crystalline YCrI2 at its relaxed geometry.

As for the density of states at the Fermi level: 0.5820 states/eV/atom. The value obtained for the calculated volume is 27.21 Å³/atom.

The space group is Fm-3m (No. 225) and the conventional cell measures 7.579, 7.579 and 7.579 Å, with angles of 90.00, 90.00 and 90.00 degrees. The distinct sites, in fractional coordinates, are Y at (0.000, 0.000, 0.000), Cr at (0.000, 0.000, 0.500) and I at (0.250, 0.250, 0.250).

---

*b*
Density functional theory data (PBE-GGA) for crystalline YCrI2 at its relaxed geometry.

As for the density of states at the Fermi level: 0.7056 states/eV/atom. The value obtained for the calculated volume is 33.50 Å³/atom.

The space group is I-42d (No. 122) and the conventional cell measures 5.299, 5.299 and 19.090 Å, with angles of 90.00, 90.00 and 90.00 degrees. The distinct sites, in fractional coordinates, are Y at (0.000, 0.000, 0.000), Cr at (0.000, 0.000, 0.500) and I at (0.243, 0.250, 0.625).

---

Of them, the most stable is *a* and the least stable is *b*.

---

*a*
Density functional theory data (PBE-GGA) for crystalline YCrI3 at its relaxed geometry.

As for the density of states at the Fermi level: 0.3429 states/eV/atom. The value obtained for the calculated volume is 43.59 Å³/atom.

The space group is Pm-3m (No. 221) and the conventional cell measures 6.018, 6.018 and 6.018 Å, with angles of 90.00, 90.00 and 90.00 degrees. The distinct sites, in fractional coordinates, are Y at (0.000, 0.000, 0.000), Cr at (0.500, 0.500, 0.500) and I at (0.000, 0.000, 0.500).

---

*b*
Density functional theory data (PBE-GGA) for crystalline YCrI3 at its relaxed geometry.

As for the density of states at the Fermi level: 0.9726 states/eV/atom. The value obtained for the calculated volume is 34.30 Å³/atom.

The space group is Pm-3m (No. 221) and the conventional cell measures 5.556, 5.556 and 5.556 Å, with angles of 90.00, 90.00 and 90.00 degrees. The distinct sites, in fractional coordinates, are Y at (0.000, 0.000, 0.000), Cr at (0.500, 0.500, 0.500) and I at (0.000, 0.500, 0.500).

---

Of them, the most stable is *a* and the least stable is *b*.